Record 1
VASP calculation (PBE) on ScBeP2 after structural relaxation.

- symmetry = No. 119
- raw total energy (eV/atom) = -5.583
- V (A^3/atom) = 14.52
- spin magnetization (μB/f.u.) = 0.0

The structure in POSCAR format:
```
ScBeP2
1.0
5.214 0.001 0.000
2.774 4.415 0.000
-3.994 -2.208 2.522
Sc P Be
1 2 1
Direct
0.500 0.500 0.000
0.250 0.750 0.500
0.000 0.000 0.000
0.750 0.250 0.500
```

=====

Record 2
VASP calculation (PBE) on ScBeP2 after structural relaxation.

- symmetry = No. 65
- raw total energy (eV/atom) = -5.539
- V (A^3/atom) = 14.35
- spin magnetization (μB/f.u.) = 0.0

The structure in POSCAR format:
```
ScBeP2
1.0
-1.718 -2.807 -0.197
2.048 -1.113 2.332
-3.305 1.761 3.743
Sc P Be
1 2 1
Direct
0.500 0.500 0.250
0.000 0.000 0.541
0.000 0.000 0.959
0.500 0.500 0.750
```

=====

Record 3
VASP calculation (PBE) on ScBe2P2 after structural relaxation.

- symmetry = No. 139
- raw total energy (eV/atom) = -5.465
- V (A^3/atom) = 13.70
- spin magnetization (μB/f.u.) = 0.0

The structure in POSCAR format:
```
ScBe2P2
1.0
3.432 0.000 0.000
0.000 3.432 0.000
1.716 1.716 5.816
Be P Sc
2 2 1
Direct
0.250 0.750 0.500
0.750 0.250 0.500
0.631 0.631 0.738
0.369 0.369 0.262
0.000 0.000 0.000
```

=====

Record 4
VASP calculation (PBE) on ScBeP2 after structural relaxation.

- symmetry = No. 99
- raw total energy (eV/atom) = -5.608
- V (A^3/atom) = 16.96
- spin magnetization (μB/f.u.) = 0.0

The structure in POSCAR format:
```
ScBeP2
1.0
3.548 0.000 0.000
0.000 3.550 0.000
0.000 0.000 5.388
Be Sc P
1 1 2
Direct
0.500 0.500 0.787
0.000 0.000 0.424
0.000 0.000 0.910
0.500 0.500 0.379
```

=====

Record 5
VASP calculation (PBE) on Sc2Be2P after structural relaxation.

- symmetry = No. 127
- raw total energy (eV/atom) = -5.528
- V (A^3/atom) = 14.45
- spin magnetization (μB/f.u.) = 0.0

The structure in POSCAR format:
```
Sc2Be2P
1.0
6.016 0.000 0.000
0.000 6.016 0.000
0.000 0.000 3.994
Sc P Be
4 2 4
Direct
0.830 0.330 0.500
0.670 0.830 0.500
0.330 0.170 0.500
0.170 0.670 0.500
0.500 0.500 0.000
0.000 0.000 0.000
0.625 0.125 0.000
0.875 0.625 0.000
0.125 0.375 0.000
0.375 0.875 0.000
```

=====

Record 6
VASP calculation (PBE) on ScBe2P after structural relaxation.

- symmetry = No. 166
- raw total energy (eV/atom) = -4.353
- V (A^3/atom) = 17.20
- spin magnetization (μB/f.u.) = 0.0

The structure in POSCAR format:
```
ScBe2P
1.0
-0.200 -0.827 4.863
-3.930 -1.224 2.725
-0.884 -4.259 2.334
Be P Sc
2 1 1
Direct
0.092 0.092 0.092
0.408 0.408 0.408
0.250 0.250 0.250
0.750 0.750 0.750
```